VASP calculation (PBE) on a relaxed Sc4Tl3Cu crystal.

Output
Its spin magnetization is 0.6 μB/cell. The calculation puts the energy at -4.8337 eV/atom. As for the formation energy from the elements: -2.15 eV/f.u. Its space group is P4/mmm (123).

Lattice parameters (Å, degrees): 3.3707 3.3707 15.4813 90.00 90.00 90.00
Positions (direct):
1 Sc 0.0000 0.0000 0.1010
2 Sc 0.0000 0.0000 0.3665
3 Sc 0.0000 0.0000 0.6335
4 Sc 0.0000 0.0000 0.8990
5 Tl 0.5000 0.5000 0.2330
6 Tl 0.5000 0.5000 0.5000
7 Tl 0.5000 0.5000 0.7670
8 Cu 0.5000 0.5000 0.0000